Below is a relaxed RbBa2Y2 crystal, with properties calculated at the GGA-PBE level.

Computed properties:
The calculation puts the formation energy from the elements at 0.41 eV/atom. The spin magnetization comes out at 2.549 μB per formula unit. Its distance to the lowest polymorph of the same formula is 20 meV/atom. The value obtained for the density of states at the Fermi level is 9.578 states/eV/f.u.

```
data_RbBa2Y2
_cell_length_a 11.4027
_cell_length_b 11.4027
_cell_length_c 3.9105
_cell_angle_alpha 90.00
_cell_angle_beta 90.00
_cell_angle_gamma 90.00
_space_group_name_H-M_alt 'P 1'
_space_group_IT_number 1
loop_
_space_group_symop_operation_xyz
'x,y,z'
loop_
_atom_site_label
_atom_site_fract_x
_atom_site_fract_y
_atom_site_fract_z
Rb1 0.0000 0.0000 0.0000
Rb2 0.5000 0.5000 0.0000
Ba1 0.1816 0.3184 0.0000
Ba2 0.3184 0.8184 0.0000
Ba3 0.6816 0.1816 0.0000
Ba4 0.8184 0.6816 0.0000
Y1 0.1044 0.6044 0.5000
Y2 0.3956 0.1044 0.5000
Y3 0.6044 0.8956 0.5000
Y4 0.8956 0.3956 0.5000
```